# La3Er4In4 PBE-GGA relaxed
# Electronic total energy   -4.308 eV/atom
data_La3Er4In4
_space_group_name_H-M_alt 'I m m m'
_space_group_IT_number 71
_space_group_name_Hall '-I 2 2'
_cell_length_a 5.1185
_cell_length_b 7.9017
_cell_length_c 16.9984
_cell_angle_alpha 90.00
_cell_angle_beta 90.00
_cell_angle_gamma 90.00
loop_
_atom_site_label
_atom_site_fract_x
_atom_site_fract_y
_atom_site_fract_z
La1 0.0000 0.0000 0.0000
La2 0.0000 0.5000 0.1121
Er1 0.0000 0.2881 0.3255
In1 0.0000 0.0000 0.2016
In2 0.0000 0.1905 0.5000